P | {"formula": "PmCuSb", "functional": "PBE", "state": "relaxed", "lattice": [[-2.061, 2.004, -3.112], [-3.731, -1.945, 1.219], [1.128, 3.859, 1.739]], "species": ["Sb", "Cu", "Pm"], "fractional_positions": [[0.835, 0.667, 0.333], [0.831, 0.000, 0.000], [0.334, 0.333, 0.667]]}



Q | {"formula": "PmCuSb", "functional": "PBE", "state": "relaxed", "lattice": [[-3.456, 1.654, -1.654], [-2.090, -3.509, 0.857], [1.682, 2.524, 4.274]], "species": ["Sb", "Cu", "Pm"], "fractional_positions": [[0.633, 0.633, 0.266], [0.939, 0.939, 0.878], [0.278, 0.278, 0.556]]}



Which structure above is the least stable? It is Q.